# 1
Here is a geometry-optimized HfZr2Tl3Te6 structure from the Alexandria database. Energies are from PBE-GGA.

Results
E_form (uncorrected): -8.09 eV/f.u.
total magnetic moment: 0.000 μB per atom
DOS(E_F): 0.413 states/eV/atom
E_tot: -5.09 eV per atom

a b c (Å): 6.9467 12.0415 8.8783
angles (deg): 90.00 90.10 90.00
With the nearest neighbours (Å) after each atom.
Space group C2/m (No. 12)
One atom of each set of equivalent atoms:
Hf (0.0000, 0.0000, 0.0000) [2 per cell]  6 Te 2.91
Zr (0.0000, 0.3334, 0.0000) [4 per cell]  6 Te 2.94
Tl (0.0000, 0.0000, 0.5000) [2 per cell]  6 Te 3.50-3.51
Tl (0.0000, 0.3332, 0.5000) [4 per cell]  6 Te 3.52-3.53
Te (0.1645, 0.1650, 0.7985) [8 per cell]  1 Hf 2.91, 2 Zr 2.94
Te (0.1694, 0.5000, 0.7984) [4 per cell]  1 Hf 2.91, 2 Zr 2.94

# 2
Here is a geometry-optimized Ho4ZrIr3 structure from the Alexandria database. Energies are from PBE-GGA.

Results
energy of formation: -0.768 eV per atom
total magnetic moment: 0.000 μB per atom
DOS(E_F): 0.884 states/eV/atom
E_tot: -7.45 eV per atom

a b c (Å): 10.9088 10.9088 5.9545
angles (deg): 90.00 90.00 90.00
With the nearest neighbours (Å) after each atom.
Space group I4/mcm (No. 140)
One atom of each set of equivalent atoms:
Ho (0.0813, 0.2123, 0.0000) [16 per cell]  4 Ir 2.89-3.00, 1 Ho 3.18
Zr (0.0000, 0.5000, 0.2500) [4 per cell]  4 Ir 2.76, 2 Zr 2.98
Ir (0.0000, 0.0000, 0.2500) [4 per cell]  8 Ho 2.89, 2 Ir 2.98
Ir (0.1509, 0.3491, 0.5000) [8 per cell]  2 Zr 2.76, 4 Ho 2.94-3.00

# 3
Here is a geometry-optimized Rb5IO6 structure from the Alexandria database. Energies are from PBE-GGA.

Results
E_form (uncorrected): -13.79 eV/f.u.
total magnetic moment: 0.000 μB per atom
E_tot: -4.16 eV per atom

a b c (Å): 6.8501 11.7677 6.6081
angles (deg): 90.00 110.77 90.00
With the nearest neighbours (Å) after each atom.
Space group C2/m (No. 12)
One atom of each set of equivalent atoms:
Rb (0.0000, 0.0000, 0.0000) [2 per cell]  4 O 2.81
Rb (0.0000, 0.1669, 0.5000) [4 per cell]  6 O 2.89-2.94
Rb (0.0000, 0.3377, 0.0000) [4 per cell]  4 O 2.78-2.82
I (0.0000, 0.5000, 0.5000) [2 per cell]  6 O 1.94-1.95
O (0.1713, 0.5000, 0.3206) [4 per cell]  1 I 1.94
O (0.1770, 0.3833, 0.6836) [8 per cell]  1 I 1.95

What did the third record say?
Here is a geometry-optimized Rb5IO6 structure from the Alexandria database. Energies are from PBE-GGA.

Results
E_form (uncorrected): -13.79 eV/f.u.
total magnetic moment: 0.000 μB per atom
E_tot: -4.16 eV per atom

a b c (Å): 6.8501 11.7677 6.6081
angles (deg): 90.00 110.77 90.00
With the nearest neighbours (Å) after each atom.
Space group C2/m (No. 12)
One atom of each set of equivalent atoms:
Rb (0.0000, 0.0000, 0.0000) [2 per cell]  4 O 2.81
Rb (0.0000, 0.1669, 0.5000) [4 per cell]  6 O 2.89-2.94
Rb (0.0000, 0.3377, 0.0000) [4 per cell]  4 O 2.78-2.82
I (0.0000, 0.5000, 0.5000) [2 per cell]  6 O 1.94-1.95
O (0.1713, 0.5000, 0.3206) [4 per cell]  1 I 1.94
O (0.1770, 0.3833, 0.6836) [8 per cell]  1 I 1.95